[1]
Below is KCdIr2 after structural relaxation, with properties calculated at the PBE level.

Lattice parameters (Å, degrees): 4.876 2.778 6.562 80.68 90.00 90.00
Fractional coordinates of all 4 atoms:
Cd1 0.500 0.750 0.750
Ir1 0.000 0.946 0.919
Ir2 0.000 0.554 0.581
K1 0.500 0.250 0.250

## Properties
Density of states at the Fermi level: 1.32 states/eV/atom
Calculated formation energy: 0.61 eV per atom
M_tot: 0.00 μB per atom
Raw total energy: -4.325 eV per atom


[2]
Below is Li5Zn6Co after structural relaxation, with properties calculated at the PBE level.

Lattice parameters (Å, degrees): 4.173 6.409 6.634 90.00 71.67 90.00
Last column: magnetic moment on the atom in μB.
Fractional coordinates of all 12 atoms:
Zn1 0.844 0.761 0.313  0.00
Zn2 0.844 0.239 0.313  0.00
Zn3 0.500 0.227 0.000  -0.01
Zn4 0.500 0.773 0.000  -0.01
Zn5 0.156 0.761 0.687  0.00
Zn6 0.156 0.239 0.687  0.00
Co1 0.000 0.000 0.000  0.69
Li1 0.674 0.500 0.651  0.00
Li2 0.330 0.000 0.340  0.00
Li3 0.000 0.500 0.000  0.00
Li4 0.670 0.000 0.660  0.00
Li5 0.326 0.500 0.349  0.00

## Properties
Density of states at the Fermi level: 0.37 states/eV/atom
Calculated formation energy: -0.14 eV per atom
M_tot: 0.06 μB per atom
Raw total energy: -2.169 eV per atom


[3]
Below is NbAl2Pt after structural relaxation, with properties calculated at the PBE level.

Lattice parameters (Å, degrees): 4.455 4.455 4.455 60.00 60.00 60.00
Last column: magnetic moment on the atom in μB.
Fractional coordinates of all 4 atoms:
Nb1 0.000 0.000 0.000  1.01
Al1 0.250 0.250 0.250  0.01
Al2 0.750 0.750 0.750  0.01
Pt1 0.500 0.500 0.500  0.01

## Properties
Density of states at the Fermi level: 0.85 states/eV/atom
Calculated formation energy: -0.46 eV per atom
M_tot: 0.32 μB per atom
Raw total energy: -6.357 eV per atom


[4]
Below is CdRhPbF2 after structural relaxation, with properties calculated at the PBE level.

Lattice parameters (Å, degrees): 4.100 7.622 4.100 90.00 90.00 90.00
Last column: magnetic moment on the atom in μB.
Fractional coordinates of all 5 atoms:
Pb1 0.000 0.500 0.000  0.03
F1 0.000 0.000 0.500  0.00
F2 0.500 0.000 0.000  0.00
Rh1 0.500 0.500 0.500  0.50
Cd1 0.000 0.000 0.000  0.00

## Properties
Density of states at the Fermi level: 0.44 states/eV/atom
M_tot: 0.15 μB per atom
Uncorrected formation energy: -660 meV/atom
Raw total energy: -3.803 eV per atom